Record 1
The following is a DFT calculation (meta-GGA SCAN) of ZnCu2Cl at its PBEsol-relaxed geometry.

Cell and atoms, written as POSCAR:
```
ZnCu2Cl
1.0
3.064 0.000 0.000
0.000 3.278 0.000
0.000 0.000 6.090
Zn Cu Cl
1 2 1
direct
0.000 0.000 0.000
0.500 0.500 0.195
0.500 0.500 0.805
0.000 0.500 0.500
```

Computed properties:
Crystal system ... orthorhombic
E above lowest polymorph ... 0 meV per atom
E_form (uncorrected) ... -0.07 eV/atom

---

Record 2
The following is a DFT calculation (meta-GGA SCAN) of ZnCu2Cl at its PBEsol-relaxed geometry.

Cell and atoms, written as POSCAR:
```
ZnCu2Cl
1.0
-1.409 2.666 4.008
1.409 -2.666 4.008
1.409 2.666 -4.008
Zn Cu Cl
1 2 1
direct
0.000 0.000 0.000
0.254 0.754 0.500
0.746 0.246 0.500
0.500 0.500 0.000
```

Computed properties:
Crystal system ... orthorhombic
E above lowest polymorph ... 207 meV per atom
E_form (uncorrected) ... 0.14 eV/atom

---

no.,electronic total energy (eV per atom),density of states at the Fermi level (states/eV/cell)
1,-13.043,0.8
2,-12.836,0.8